## Tl3Au4 (GGA-PBE)

Data for a relaxed structure of Tl3Au4.

```
Tl3Au4
1.0
1.314 1.707 -6.127
-4.365 -4.654 1.209
-3.691 3.510 0.186
Tl Au
3 4
direct
0.500 0.000 0.000
0.000 0.500 0.000
0.500 0.500 0.000
0.333 0.667 0.500
0.667 0.333 0.500
0.000 0.000 0.251
0.000 0.000 0.749
```

Values from the calculation:
space group: P6/mmm (191)

## SrHgOs2 (GGA-PBE)

Data for a relaxed structure of SrHgOs2.

```
SrHgOs2
1.0
-0.617 -2.524 -1.292
2.116 -1.290 1.509
-6.025 -1.982 6.752
Os Sr Hg
2 1 1
direct
0.000 0.000 0.979
0.000 0.000 0.521
0.500 0.500 0.250
0.500 0.500 0.750
```

Values from the calculation:
space group: P4/mmm (123)

| no. | Fermi-level density of states (states/eV per cell) | calculated total energy (eV/atom) |
| --- | --- | --- |
| 1 | 2.26 | -2.619 |
| 2 | 4.97 | -4.917 |